Record 1
{
  "formula": "MnBr2Cl",
  "functional": "PBE",
  "state": "optimized geometry",
  "lattice_angstrom": [[10.649, 0.041, 0.024], [10.013, 3.624, 0.024], [10.013, 1.776, 3.159]],
  "species": ["Br", "Mn", "Cl", "Br"],
  "frac_coords": [[0.249, 0.249, 0.249], [0.753, 0.753, 0.753], [0.464, 0.464, 0.464], [0.035, 0.035, 0.035]],
  "raw_formation_energy_ev_per_atom": -0.485,
  "magmom_total_mub_per_atom": 1.348,
  "final_energy_ev_per_cell": -16.301,
  "e_above_lowest_polymorph_mev_per_atom": 234
}

---

Record 2
{
  "formula": "MnGaAsBr2",
  "functional": "PBE",
  "state": "optimized geometry",
  "lattice_angstrom": [[5.139, 0.000, 0.000], [0.000, 5.139, 0.000], [0.000, 0.000, 5.173]],
  "species": ["Mn", "Br", "As", "Ga", "Br"],
  "frac_coords": [[0.500, 0.500, 0.500], [0.000, 0.500, 0.000], [0.000, 0.000, 0.500], [0.000, 0.000, 0.000], [0.500, 0.000, 0.000]],
  "raw_formation_energy_ev_per_atom": 0.359,
  "magmom_total_mub_per_atom": 0.888,
  "final_energy_ev_per_cell": -18.399,
  "e_above_lowest_polymorph_mev_per_atom": 419
}

---

Record 3
{
  "formula": "Mn2CrCl",
  "functional": "PBE",
  "state": "optimized geometry",
  "lattice_angstrom": [[2.950, 0.000, 0.000], [0.000, 2.987, -0.001], [0.000, 0.003, 7.223]],
  "species": ["Cr", "Mn", "Cl", "Mn"],
  "frac_coords": [[0.500, 0.750, 0.750], [0.000, 0.250, 0.536], [0.500, 0.250, 0.250], [0.000, 0.250, 0.964]],
  "raw_formation_energy_ev_per_atom": 0.099,
  "magmom_total_mub_per_atom": 1.244,
  "final_energy_ev_per_cell": -29.411,
  "e_above_lowest_polymorph_mev_per_atom": 8
}